a.
# PBE MnGeBr4, relaxed
# - space group = C2/m, No. 12
# - crystal system = monoclinic
# - spin magnetization (μB per cell) = 4.996
data_MnGeBr4
_cell_length_a 3.9606
_cell_length_b 7.1998
_cell_length_c 6.9622
_cell_angle_alpha 98.37
_cell_angle_beta 90.00
_cell_angle_gamma 105.97
_symmetry_space_group_name_H-M 'P 1'
_symmetry_Int_Tables_number 1
_symmetry_space_group_name_Hall 'P 1'
loop_
_atom_site_label
_atom_site_fract_x
_atom_site_fract_y
_atom_site_fract_z
_atom_site_occupancy
Mn1 0.0000 0.0000 0.5000 1
Ge1 0.5000 0.0000 0.0000 1
Br1 0.1143 0.2285 0.8511 1
Br2 0.8857 0.7715 0.1489 1
Br3 0.6106 0.2211 0.3772 1
Br4 0.3894 0.7789 0.6228 1

---

b.
# PBE MnGeBr4, relaxed
# - space group = C2/c, No. 15
# - crystal system = monoclinic
# - spin magnetization (μB per cell) = 10.000
data_MnGeBr4
_cell_length_a 6.8055
_cell_length_b 6.9021
_cell_length_c 9.4831
_cell_angle_alpha 104.12
_cell_angle_beta 103.72
_cell_angle_gamma 109.54
_symmetry_space_group_name_H-M 'P 1'
_symmetry_Int_Tables_number 1
_symmetry_space_group_name_Hall 'P 1'
loop_
_atom_site_label
_atom_site_fract_x
_atom_site_fract_y
_atom_site_fract_z
_atom_site_occupancy
Mn1 0.3196 0.5696 0.1392 1
Mn2 0.6804 0.4304 0.8608 1
Ge1 0.8278 0.0778 0.1555 1
Ge2 0.1722 0.9222 0.8445 1
Br1 0.3434 0.0768 0.6549 1
Br2 0.0388 0.7779 0.1018 1
Br3 0.1886 0.4220 0.3451 1
Br4 0.4370 0.6761 0.8982 1
Br5 0.6566 0.9232 0.3451 1
Br6 0.8114 0.5780 0.6549 1
Br7 0.9612 0.2221 0.8982 1
Br8 0.5630 0.3239 0.1018 1

---

It is a that is the most stable of them.

---

a.
# PBE MnGe2Br6, relaxed
# - space group = C2/m, No. 12
# - crystal system = monoclinic
# - spin magnetization (μB per cell) = 4.993
data_MnGe2Br6
_cell_length_a 4.0075
_cell_length_b 8.0724
_cell_length_c 9.7048
_cell_angle_alpha 106.87
_cell_angle_beta 90.00
_cell_angle_gamma 104.37
_symmetry_space_group_name_H-M 'P 1'
_symmetry_Int_Tables_number 1
_symmetry_space_group_name_Hall 'P 1'
loop_
_atom_site_label
_atom_site_fract_x
_atom_site_fract_y
_atom_site_fract_z
_atom_site_occupancy
Mn1 0.0000 0.0000 0.5000 1
Ge1 0.6659 0.3317 0.8278 1
Ge2 0.3341 0.6683 0.1722 1
Br1 0.2955 0.5911 0.8558 1
Br2 0.7044 0.4089 0.1442 1
Br3 0.9704 0.9409 0.2160 1
Br4 0.6242 0.2484 0.5305 1
Br5 0.0295 0.0591 0.7840 1
Br6 0.3758 0.7516 0.4695 1

---

b.
# PBE MnGe2Br6, relaxed
# - space group = C2/c, No. 15
# - crystal system = monoclinic
# - spin magnetization (μB per cell) = 10.000
data_MnGe2Br6
_cell_length_a 6.8929
_cell_length_b 9.3540
_cell_length_c 9.3540
_cell_angle_alpha 77.86
_cell_angle_beta 93.64
_cell_angle_gamma 93.64
_symmetry_space_group_name_H-M 'P 1'
_symmetry_Int_Tables_number 1
_symmetry_space_group_name_Hall 'P 1'
loop_
_atom_site_label
_atom_site_fract_x
_atom_site_fract_y
_atom_site_fract_z
_atom_site_occupancy
Mn1 0.2500 0.0720 0.9280 1
Mn2 0.7500 0.9280 0.0720 1
Ge1 0.3231 0.6240 0.8156 1
Ge2 0.1769 0.1844 0.3760 1
Ge3 0.6769 0.3760 0.1844 1
Ge4 0.8231 0.8156 0.6240 1
Br1 0.4858 0.6937 0.5582 1
Br2 0.0142 0.4418 0.3063 1
Br3 0.5142 0.3063 0.4418 1
Br4 0.9858 0.5582 0.6937 1
Br5 0.9307 0.8675 0.3615 1
Br6 0.5693 0.6385 0.1325 1
Br7 0.0693 0.1325 0.6385 1
Br8 0.4307 0.3615 0.8675 1
Br9 0.0452 0.8194 0.9737 1
Br10 0.4548 0.0263 0.1806 1
Br11 0.9548 0.1806 0.0263 1
Br12 0.5452 0.9737 0.8194 1

---

It is a that is the most stable of them.

---

a.
# PBE MnGe3Br, relaxed
# - space group = Pm-3m, No. 221
# - crystal system = cubic
# - spin magnetization (μB per cell) = 0.001
data_MnGe3Br
_cell_length_a 4.6447
_cell_length_b 4.6447
_cell_length_c 4.6447
_cell_angle_alpha 90.00
_cell_angle_beta 90.00
_cell_angle_gamma 90.00
_symmetry_space_group_name_H-M 'P 1'
_symmetry_Int_Tables_number 1
_symmetry_space_group_name_Hall 'P 1'
loop_
_atom_site_label
_atom_site_fract_x
_atom_site_fract_y
_atom_site_fract_z
_atom_site_occupancy
Ge1 0.0000 0.5000 0.0000 1
Ge2 0.0000 0.0000 0.5000 1
Ge3 0.5000 0.0000 0.0000 1
Mn1 0.0000 0.0000 0.0000 1
Br1 0.5000 0.5000 0.5000 1

---

b.
# PBE MnGe3Br, relaxed
# - space group = Pm-3m, No. 221
# - crystal system = cubic
# - spin magnetization (μB per cell) = 4.189
data_MnGe3Br
_cell_length_a 5.1638
_cell_length_b 5.1638
_cell_length_c 5.1638
_cell_angle_alpha 90.00
_cell_angle_beta 90.00
_cell_angle_gamma 90.00
_symmetry_space_group_name_H-M 'P 1'
_symmetry_Int_Tables_number 1
_symmetry_space_group_name_Hall 'P 1'
loop_
_atom_site_label
_atom_site_fract_x
_atom_site_fract_y
_atom_site_fract_z
_atom_site_occupancy
Ge1 0.0000 0.5000 0.0000 1
Ge2 0.0000 0.0000 0.5000 1
Ge3 0.5000 0.0000 0.0000 1
Mn1 0.5000 0.5000 0.5000 1
Br1 0.0000 0.0000 0.0000 1

---

It is a that is the most stable of them.